Entry from Alexandria: a relaxed structure of Sc2Cr3 (PBE).

## Properties
The total energy comes out at -7.389 eV/atom. The calculation puts the total magnetization at 11.17 μB/cell. The value obtained for the polymorph energy (0 for the lowest one) is 420 meV/atom. The space group is P-3m1. The formation energy is 88.5 kJ/mol of atoms. The calculation puts the volume at 20.89 Å³ per atom.

Unit cell a=4.627 b=4.627 c=5.634 alpha=90.00 beta=90.00 gamma=120.00
Last column: magnetic moment on the atom in μB.
Atoms (fractional coordinates):
1 Sc 0.667 0.333 0.165  -0.01
2 Sc 0.333 0.667 0.835  -0.01
3 Cr 0.000 0.000 0.000  3.18
4 Cr 0.667 0.333 0.667  3.37
5 Cr 0.333 0.667 0.333  3.37